# Ti2NbIn | Alexandria | PBE-GGA | relaxed
# Total DFT energy (no corrections) (eV/atom): -7.31
# Volume (Å³/f.u.): 74
# Calculated formation energy (eV/atom): -0.160
data_Ti2NbIn
_cell_length_a 3.373
_cell_length_b 3.373
_cell_length_c 6.493
_cell_angle_alpha 90.00
_cell_angle_beta 90.00
_cell_angle_gamma 90.00
_space_group_name_H-M_alt 'P 1'
_space_group_IT_number 1
_space_group_name_Hall 'P 1'
loop_
_atom_site_label
_atom_site_type_symbol
_atom_site_fract_x
_atom_site_fract_y
_atom_site_fract_z
Nb1 Nb 0.500 0.500 0.000
Ti1 Ti 0.000 0.000 0.774
Ti2 Ti 0.000 0.000 0.226
In1 In 0.500 0.500 0.500